## 1
DFT (PBE) results for a relaxed AgAsRuBr2 crystal.

Results
Symmetry ... P4/mmm (123)

Lattice parameters (Å, degrees): 5.2696 5.2696 5.0911 90.00 90.00 90.00
With the nearest neighbours (Å) after each atom.
Fractional coordinates of all 5 atoms:
1 Ru 0.5000 0.5000 0.5000  8 Br 3.66, 4 As 3.73
2 As 0.0000 0.0000 0.5000  2 Ag 2.55
3 Br 0.0000 0.5000 0.0000  2 Ag 2.63
4 Br 0.5000 0.0000 0.0000  2 Ag 2.63
5 Ag 0.0000 0.0000 0.0000  2 As 2.55, 4 Br 2.63

***

## 2
DFT (PBE) results for a relaxed AgAsRuBr2 crystal.

Results
Symmetry ... P4/mmm (123)

Lattice parameters (Å, degrees): 5.2789 5.2789 4.6104 90.00 90.00 90.00
With the nearest neighbours (Å) after each atom.
Fractional coordinates of all 5 atoms:
1 Ru 0.0000 0.0000 0.0000  2 As 2.31
2 As 0.0000 0.0000 0.5000  2 Ru 2.31
3 Br 0.0000 0.5000 0.0000  2 Ru 2.64
4 Br 0.5000 0.0000 0.0000  2 Ru 2.64
5 Ag 0.5000 0.5000 0.5000  8 Br 3.50, 4 As 3.73

***

In meV/atom, relative to the most stable structure: 1 810; 2 0.

***

## 1
DFT (PBE) results for a relaxed ScAgAs2Br crystal.

Results
Symmetry ... P4/mmm (123)

Lattice parameters (Å, degrees): 4.9586 4.9586 5.2627 90.00 90.00 90.00
With the nearest neighbours (Å) after each atom.
Fractional coordinates of all 5 atoms:
1 Sc 0.5000 0.5000 0.5000  4 Br 3.51, 8 As 3.62
2 As 0.0000 0.5000 0.0000  2 Ag 2.48
3 As 0.5000 0.0000 0.0000  2 Ag 2.48
4 Br 0.0000 0.0000 0.5000  2 Ag 2.63
5 Ag 0.0000 0.0000 0.0000  4 As 2.48, 2 Br 2.63

***

## 2
DFT (PBE) results for a relaxed ScAgAs2Br crystal.

Results
Symmetry ... P4/mmm (123)

Lattice parameters (Å, degrees): 5.1790 5.1790 5.2539 90.00 90.00 90.00
With the nearest neighbours (Å) after each atom.
Fractional coordinates of all 5 atoms:
1 Sc 0.0000 0.0000 0.0000  4 As 2.59, 2 Br 2.63
2 As 0.0000 0.5000 0.0000  2 Sc 2.59
3 As 0.5000 0.0000 0.0000  2 Sc 2.59
4 Br 0.0000 0.0000 0.5000  2 Sc 2.63
5 Ag 0.5000 0.5000 0.5000  4 Br 3.66, 8 As 3.69

***

In meV/atom, relative to the most stable structure: 1 307; 2 0.

***

## 1
DFT (PBE) results for a relaxed ScAgAsBr2 crystal.

Results
Symmetry ... P4/mmm (123)

Lattice parameters (Å, degrees): 5.1925 5.1925 5.4621 90.00 90.00 90.00
With the nearest neighbours (Å) after each atom.
Fractional coordinates of all 5 atoms:
1 Sc 0.0000 0.0000 0.0000  4 Br 2.60, 2 As 2.73
2 As 0.0000 0.0000 0.5000  2 Sc 2.73
3 Br 0.0000 0.5000 0.0000  2 Sc 2.60
4 Br 0.5000 0.0000 0.0000  2 Sc 2.60
5 Ag 0.5000 0.5000 0.5000  4 As 3.67, 8 Br 3.77

***

## 2
DFT (PBE) results for a relaxed ScAgAsBr2 crystal.

Results
Symmetry ... P4/mmm (123)

Lattice parameters (Å, degrees): 5.1320 5.1320 5.2754 90.00 90.00 90.00
With the nearest neighbours (Å) after each atom.
Fractional coordinates of all 5 atoms:
1 Sc 0.5000 0.5000 0.5000  4 As 3.63, 8 Br 3.68
2 As 0.0000 0.0000 0.5000  2 Ag 2.64
3 Br 0.0000 0.5000 0.0000  2 Ag 2.57
4 Br 0.5000 0.0000 0.0000  2 Ag 2.57
5 Ag 0.0000 0.0000 0.0000  4 Br 2.57, 2 As 2.64

***

In meV/atom, relative to the most stable structure: 1 0; 2 535.

***

## 1
DFT (PBE) results for a relaxed AgAs2SeBr crystal.

Results
Symmetry ... P4/mmm (123)

Lattice parameters (Å, degrees): 5.1623 5.1623 4.9810 90.00 90.00 90.00
With the nearest neighbours (Å) after each atom.
Fractional coordinates of all 5 atoms:
1 As 0.0000 0.5000 0.0000  2 Ag 2.58
2 As 0.5000 0.0000 0.0000  2 Ag 2.58
3 Se 0.0000 0.0000 0.5000  2 Ag 2.49
4 Br 0.5000 0.5000 0.5000  8 As 3.59, 4 Se 3.65
5 Ag 0.0000 0.0000 0.0000  2 Se 2.49, 4 As 2.58

***

## 2
DFT (PBE) results for a relaxed AgAs2SeBr crystal.

Results
Symmetry ... P4/mmm (123)

Lattice parameters (Å, degrees): 5.1284 5.1284 4.9889 90.00 90.00 90.00
With the nearest neighbours (Å) after each atom.
Fractional coordinates of all 5 atoms:
1 As 0.0000 0.5000 0.0000  2 Ag 2.56
2 As 0.5000 0.0000 0.0000  2 Ag 2.56
3 Se 0.5000 0.5000 0.5000  8 As 3.58, 4 Br 3.63
4 Br 0.0000 0.0000 0.5000  2 Ag 2.49
5 Ag 0.0000 0.0000 0.0000  2 Br 2.49, 4 As 2.56

***

In meV/atom, relative to the most stable structure: 1 17; 2 0.

***

## 1
DFT (PBE) results for a relaxed AgAs2SeBr crystal.

Results
Symmetry ... P4/mmm (123)

Lattice parameters (Å, degrees): 5.0582 5.0582 5.4336 90.00 90.00 90.00
With the nearest neighbours (Å) after each atom.
Fractional coordinates of all 5 atoms:
1 As 0.0000 0.5000 0.0000  2 Se 2.53
2 As 0.5000 0.0000 0.0000  2 Se 2.53
3 Se 0.0000 0.0000 0.0000  4 As 2.53, 2 Br 2.72
4 Br 0.0000 0.0000 0.5000  2 Se 2.72
5 Ag 0.5000 0.5000 0.5000  4 Br 3.58, 8 As 3.71

***

## 2
DFT (PBE) results for a relaxed AgAs2SeBr crystal.

Results
Symmetry ... P4/mmm (123)

Lattice parameters (Å, degrees): 5.1319 5.1319 5.2895 90.00 90.00 90.00
With the nearest neighbours (Å) after each atom.
Fractional coordinates of all 5 atoms:
1 As 0.0000 0.5000 0.0000  2 Br 2.57
2 As 0.5000 0.0000 0.0000  2 Br 2.57
3 Se 0.0000 0.0000 0.5000  2 Br 2.64
4 Br 0.0000 0.0000 0.0000  4 As 2.57, 2 Se 2.64
5 Ag 0.5000 0.5000 0.5000  4 Se 3.63, 8 As 3.68

***

In meV/atom, relative to the most stable structure: 1 0; 2 354.

***

## 1
DFT (PBE) results for a relaxed SrAgAs2Br crystal.

Results
Symmetry ... P4/mmm (123)

Lattice parameters (Å, degrees): 4.9417 4.9417 6.0324 90.00 90.00 90.00
With the nearest neighbours (Å) after each atom.
Fractional coordinates of all 5 atoms:
1 Sr 0.5000 0.5000 0.5000  4 Br 3.49, 8 As 3.90
2 As 0.0000 0.5000 0.0000  2 Ag 2.47
3 As 0.5000 0.0000 0.0000  2 Ag 2.47
4 Br 0.0000 0.0000 0.5000  2 Ag 3.02
5 Ag 0.0000 0.0000 0.0000  4 As 2.47

***

## 2
DFT (PBE) results for a relaxed SrAgAs2Br crystal.

Results
Symmetry ... P4/mmm (123)

Lattice parameters (Å, degrees): 5.9385 5.9385 5.7605 90.00 90.00 90.00
With the nearest neighbours (Å) after each atom.
Fractional coordinates of all 5 atoms:
1 Sr 0.0000 0.0000 0.0000  2 Br 2.88, 4 As 2.97
2 As 0.0000 0.5000 0.0000  2 Sr 2.97
3 As 0.5000 0.0000 0.0000  2 Sr 2.97
4 Br 0.0000 0.0000 0.5000  2 Sr 2.88
5 Ag 0.5000 0.5000 0.5000  8 As 4.14, 4 Br 4.20

***

In meV/atom, relative to the most stable structure: 1 0; 2 680.